A geometry-optimized LaHgAu2 structure. Source: the Alexandria database, functional PBE.

Formation energy (meV per atom): -627
Final energy (eV for the cell shown): -28.6

Lattice parameters (Å, degrees): 5.130 6.981 5.310 90.00 90.00 90.00
Space group Pmmn (No. 59, origin choice 2)
Symmetry-distinct sites (fractional):
La (0.250, 0.250, 0.183)
Hg (0.250, 0.750, 0.214)
Au (0.250, 0.000, 0.684)

A geometry-optimized RbAs2P2 structure. Source: the Alexandria database, functional PBE.

Formation energy (meV per atom): -97
Final energy (eV for the cell shown): -43.1
Offset from the most stable computed form (eV per atom): 0.000

Lattice parameters (Å, degrees): 4.749 4.749 11.616 90.00 90.00 90.00
Space group I4/mmm (No. 139)
Symmetry-distinct sites (fractional):
Rb (0.000, 0.000, 0.000)
As (0.000, 0.000, 0.319)
P (0.000, 0.500, 0.250)